# AcLaPm6Y2, optimized geometry, DFT GGA-PBE
# ρ = 6.56 Mg/m³
# Fermi-level density of states = 1.3447 states/eV per atom
# formation enthalpy at 0 K = 0.12 eV/atom
# DFT total energy = -4.927 eV/atom
data_AcLaPm6Y2
_chemical_formula_sum 'Ac4 La4 Pm24 Y8'
_space_group_name_H-M_alt 'C 1 2/c 1'
_space_group_IT_number 15
_space_group_name_Hall '-C 2yc'
_cell_length_a 9.580
_cell_length_b 15.365
_cell_length_c 9.770
_cell_angle_alpha 90.00
_cell_angle_beta 95.27
_cell_angle_gamma 90.00
loop_
_atom_site_label
_atom_site_type_symbol
_atom_site_fract_x
_atom_site_fract_y
_atom_site_fract_z
Ac1 Ac 0.000 0.042 0.250
La1 La 0.000 0.408 0.750
Pm1 Pm 0.069 0.175 0.940
Pm2 Pm 0.091 0.385 0.117
Pm3 Pm 0.221 0.231 0.324
Y1 Y 0.247 0.449 0.447